# Ce2BeZnAu6, relaxed, DFT PBE
# energy of formation from the pure elements	-0.338	eV/atom
data_Ce2BeZnAu6
_symmetry_space_group_name_H-M 'I m m m'
_symmetry_Int_Tables_number 71
_symmetry_space_group_name_Hall '-I 2 2'
_cell_length_a 6.714
_cell_length_b 6.752
_cell_length_c 9.512
_cell_angle_alpha 90.00
_cell_angle_beta 90.00
_cell_angle_gamma 90.00
loop_
_atom_site_label
_atom_site_type_symbol
_atom_site_fract_x
_atom_site_fract_y
_atom_site_fract_z
Ce1 Ce 0.000 0.000 0.250
Be1 Be 0.000 0.500 0.000
Zn1 Zn 0.000 0.500 0.500
Au1 Au 0.000 0.500 0.236
Au2 Au 0.236 0.264 0.000



# BeAu3Cl, relaxed, DFT PBE
# formation energy without anion corrections	7.88	kcal/mol of atoms
# relative energy among the computed polymorphs	0.000	eV per atom
data_BeAu3Cl
_symmetry_space_group_name_H-M 'P m -3 m'
_symmetry_Int_Tables_number 221
_symmetry_space_group_name_Hall '-P 4 2 3'
_cell_length_a 4.556
_cell_length_b 4.556
_cell_length_c 4.556
_cell_angle_alpha 90.00
_cell_angle_beta 90.00
_cell_angle_gamma 90.00
loop_
_atom_site_label
_atom_site_type_symbol
_atom_site_fract_x
_atom_site_fract_y
_atom_site_fract_z
Be1 Be 0.000 0.000 0.000
Au1 Au 0.000 0.000 0.500
Cl1 Cl 0.500 0.500 0.500



# BeAu2Cl, relaxed, DFT PBE
# formation energy without anion corrections	-4.25	kcal/mol of atoms
# relative energy among the computed polymorphs	0.158	eV per atom
data_BeAu2Cl
_symmetry_space_group_name_H-M 'C m m 2'
_symmetry_Int_Tables_number 35
_cell_length_a 2.971
_cell_length_b 5.292
_cell_length_c 9.686
_cell_angle_alpha 90.00
_cell_angle_beta 90.00
_cell_angle_gamma 90.00
loop_
_symmetry_equiv_pos_as_xyz
'x,y,z'
'-x,-y,z'
'-x,y,z'
'x,-y,z'
'x+1/2,y+1/2,z'
'-x+1/2,-y+1/2,z'
'-x+1/2,y+1/2,z'
'x+1/2,-y+1/2,z'
loop_
_atom_site_label
_atom_site_type_symbol
_atom_site_fract_x
_atom_site_fract_y
_atom_site_fract_z
Be1 Be 0.000 0.000 0.000
Au1 Au 0.000 0.000 0.457
Au2 Au 0.000 0.500 0.191
Cl1 Cl 0.000 0.500 0.857



# BeAu2Cl, relaxed, DFT PBE
# formation energy without anion corrections	1.04	kcal/mol of atoms
# relative energy among the computed polymorphs	0.387	eV per atom
data_BeAu2Cl
_symmetry_space_group_name_H-M 'I m m m'
_symmetry_Int_Tables_number 71
_symmetry_space_group_name_Hall '-I 2 2'
_cell_length_a 2.772
_cell_length_b 6.344
_cell_length_c 8.855
_cell_angle_alpha 90.00
_cell_angle_beta 90.00
_cell_angle_gamma 90.00
loop_
_atom_site_label
_atom_site_type_symbol
_atom_site_fract_x
_atom_site_fract_y
_atom_site_fract_z
Be1 Be 0.000 0.000 0.000
Au1 Au 0.000 0.500 0.292
Cl1 Cl 0.000 0.000 0.500



# BeAu4Cl, relaxed, DFT PBE
# formation energy without anion corrections	9.83	kcal/mol of atoms
data_BeAu4Cl
_symmetry_space_group_name_H-M 'F -4 3 m'
_symmetry_Int_Tables_number 216
_symmetry_space_group_name_Hall 'F -4 2 3'
_cell_length_a 7.819
_cell_length_b 7.819
_cell_length_c 7.819
_cell_angle_alpha 90.00
_cell_angle_beta 90.00
_cell_angle_gamma 90.00
loop_
_atom_site_label
_atom_site_type_symbol
_atom_site_fract_x
_atom_site_fract_y
_atom_site_fract_z
Be1 Be 0.000 0.000 0.000
Au1 Au 0.125 0.125 0.375
Cl1 Cl 0.250 0.250 0.750



# BeAuCl, relaxed, DFT PBE
# formation energy without anion corrections	12.27	kcal/mol of atoms
# relative energy among the computed polymorphs	1.003	eV per atom
data_BeAuCl
_symmetry_space_group_name_H-M 'F -4 3 m'
_symmetry_Int_Tables_number 216
_symmetry_space_group_name_Hall 'F -4 2 3'
_cell_length_a 6.161
_cell_length_b 6.161
_cell_length_c 6.161
_cell_angle_alpha 90.00
_cell_angle_beta 90.00
_cell_angle_gamma 90.00
loop_
_atom_site_label
_atom_site_type_symbol
_atom_site_fract_x
_atom_site_fract_y
_atom_site_fract_z
Be1 Be 0.000 0.000 0.000
Au1 Au 0.250 0.250 0.750
Cl1 Cl 0.000 0.000 0.500



DOS at the Fermi energy across the listed records, respectively: 38.734, 3.804, 0.714, 1.435, 17.450, 3.054 states/eV/cell.